# 1
# Tb2AlSe PBE optimized geometry
data_Tb2AlSe
_space_group_name_H-M_alt 'P 1'
_space_group_IT_number 1
_cell_length_a 11.546
_cell_length_b 11.546
_cell_length_c 4.090
_cell_angle_alpha 90.00
_cell_angle_beta 90.00
_cell_angle_gamma 158.53
loop_
_space_group_symop_operation_xyz
'x,y,z'
loop_
_atom_site_label
_atom_site_type_symbol
_atom_site_fract_x
_atom_site_fract_y
_atom_site_fract_z
Tb1 Tb 0.067 0.933 0.750
Tb2 Tb 0.320 0.680 0.750
Tb3 Tb 0.680 0.320 0.250
Tb4 Tb 0.933 0.067 0.250
Al1 Al 0.462 0.538 0.750
Al2 Al 0.538 0.462 0.250
Se1 Se 0.193 0.807 0.750
Se2 Se 0.807 0.193 0.250
# Symmetry ... Cmcm (63)
# Magnetization ... 0.00 μB per cell
# E ... -42.00 eV/cell
# E_form (uncorrected) ... -1128 meV per atom
# E above lowest polymorph ... 0 meV/atom
# D(E_F) ... 1.73 states/eV/f.u.

# 2
# Nd2Ni12P3Pt PBE optimized geometry
data_Nd2Ni12P3Pt
_space_group_name_H-M_alt 'P 1'
_space_group_IT_number 1
_cell_length_a 7.265
_cell_length_b 7.265
_cell_length_c 7.265
_cell_angle_alpha 63.09
_cell_angle_beta 63.09
_cell_angle_gamma 63.09
loop_
_space_group_symop_operation_xyz
'x,y,z'
loop_
_atom_site_label
_atom_site_type_symbol
_atom_site_fract_x
_atom_site_fract_y
_atom_site_fract_z
Nd1 Nd 0.110 0.110 0.110
Nd2 Nd 0.890 0.890 0.890
Ni1 Ni 0.112 0.627 0.627
Ni2 Ni 0.159 0.159 0.602
Ni3 Ni 0.159 0.602 0.159
Ni4 Ni 0.373 0.373 0.888
Ni5 Ni 0.373 0.888 0.373
Ni6 Ni 0.398 0.841 0.841
Ni7 Ni 0.602 0.159 0.159
Ni8 Ni 0.627 0.112 0.627
Ni9 Ni 0.627 0.627 0.112
Ni10 Ni 0.841 0.398 0.841
Ni11 Ni 0.841 0.841 0.398
Ni12 Ni 0.888 0.373 0.373
P1 P 0.000 0.500 0.500
P2 P 0.500 0.000 0.500
P3 P 0.500 0.500 0.000
Pt1 Pt 0.500 0.500 0.500
# Energy of formation from the pure elements ... -0.02 eV per atom
# Symmetry ... R-3m (166)
# Magnetization ... 0.00 μB per cell
# E ... -101.47 eV/cell
# D(E_F) ... 11.25 states/eV/f.u.

# 3
# Ac2ScBi PBE optimized geometry
data_Ac2ScBi
_space_group_name_H-M_alt 'P 1'
_space_group_IT_number 1
_cell_length_a 5.291
_cell_length_b 5.291
_cell_length_c 4.874
_cell_angle_alpha 90.00
_cell_angle_beta 90.00
_cell_angle_gamma 90.00
loop_
_space_group_symop_operation_xyz
'x,y,z'
loop_
_atom_site_label
_atom_site_type_symbol
_atom_site_fract_x
_atom_site_fract_y
_atom_site_fract_z
Ac1 Ac 0.000 0.500 0.000
Ac2 Ac 0.500 0.000 0.000
Sc1 Sc 0.000 0.000 0.500
Bi1 Bi 0.500 0.500 0.500
# Energy of formation from the pure elements ... -0.28 eV per atom
# Symmetry ... P4/mmm (123)
# Magnetization ... 0.00 μB per cell
# E ... -19.55 eV/cell
# E above lowest polymorph ... 0 meV/atom
# D(E_F) ... 5.29 states/eV/f.u.

# 4
# Ir2PtAu PBE optimized geometry
data_Ir2PtAu
_space_group_name_H-M_alt 'P 1'
_space_group_IT_number 1
_cell_length_a 5.745
_cell_length_b 5.745
_cell_length_c 5.745
_cell_angle_alpha 102.51
_cell_angle_beta 102.51
_cell_angle_gamma 124.53
loop_
_space_group_symop_operation_xyz
'x,y,z'
loop_
_atom_site_label
_atom_site_type_symbol
_atom_site_fract_x
_atom_site_fract_y
_atom_site_fract_z
Ir1 Ir 0.108 0.625 0.983
Ir2 Ir 0.375 0.358 0.483
Ir3 Ir 0.642 0.125 0.017
Ir4 Ir 0.875 0.892 0.517
Pt1 Pt 0.000 0.000 0.000
Pt2 Pt 0.750 0.250 0.500
Au1 Au 0.250 0.750 0.500
Au2 Au 0.500 0.500 0.000
# Energy of formation from the pure elements ... 0.74 eV per atom
# Symmetry ... I-42d (122)
# Magnetization ... 0.00 μB per cell
# E ... -48.17 eV/cell
# E above lowest polymorph ... 630 meV/atom
# D(E_F) ... 5.20 states/eV/f.u.